# 1
## Er3Th5Bi8 (PBE-GGA)

Data for a geometry-optimized Er3Th5Bi8 structure.

Output
DFT total energy (eV per cell): -92.2
Space group: R-3m (166)
Calculated formation energy (eV per atom): -0.647
Total magnetization (μB per formula unit): 0.00

The structure in extended XYZ format:
```
16
Lattice="7.891 0.000 4.520 2.651 7.432 4.520 0.040 0.028 9.078" Properties=species:S:1:pos:R:3 pbc="T T T"
Th 0.000 0.000 0.000
Th 1.325 3.716 2.260
Bi 7.916 5.581 9.126
Bi 6.568 1.802 6.828
Bi 4.013 5.658 11.289
Bi 2.665 1.879 8.991
Th 3.945 0.000 2.260
Bi 3.904 5.581 6.828
Th 5.271 3.716 4.520
Er 3.965 0.014 6.799
Er 0.020 0.014 4.539
Bi 2.604 1.836 4.602
Bi 7.977 5.624 13.516
Er 1.345 3.730 6.799
Bi 6.677 1.879 11.289
Th 5.291 3.730 9.059
```

***

# 2
## AlPPb2 (PBE-GGA)

Data for a geometry-optimized AlPPb2 structure.

Output
DFT total energy (eV per cell): -16.4
Space group: P4mm (99)
Calculated formation energy (eV per atom): 0.040
Distance to the lowest polymorph of the same formula (eV/f.u.): 0.178
Total magnetization (μB per formula unit): 0.00

The structure in extended XYZ format:
```
4
Lattice="-0.251 -3.457 -0.290 1.240 -0.360 3.230 -7.928 0.317 3.078" Properties=species:S:1:pos:R:3 pbc="T T T"
P -4.355 -1.715 3.353
Pb -1.662 -1.823 2.307
Pb -7.828 0.313 3.039
Al -4.987 0.200 1.937
```

***

# 3
## Ce2TiCu (PBE-GGA)

Data for a geometry-optimized Ce2TiCu structure.

Output
DFT total energy (eV per cell): -22.8
Space group: R-3m (166)
Calculated formation energy (eV per atom): 0.263
Distance to the lowest polymorph of the same formula (eV/f.u.): 0.640
Total magnetization (μB per formula unit): 0.00

The structure in extended XYZ format:
```
4
Lattice="-1.212 -0.760 -2.565 -1.439 -2.548 -0.246 -9.944 3.738 1.912" Properties=species:S:1:pos:R:3 pbc="T T T"
Cu -6.298 0.215 -0.449
Ce -7.590 2.480 1.172
Ti 0.000 0.000 0.000
Ce -5.006 -2.050 -2.071
```

***

# 4
## LaThZn2 (PBE-GGA)

Data for a geometry-optimized LaThZn2 structure.

Output
DFT total energy (eV per cell): -31.7
Space group: Pmma (51)
Calculated formation energy (eV per atom): -0.241
Distance to the lowest polymorph of the same formula (eV/f.u.): 0.014
Total magnetization (μB per formula unit): 0.00

The structure in extended XYZ format:
```
8
Lattice="-3.012 1.749 1.285 0.304 -2.740 4.441 6.104 7.446 4.176" Properties=species:S:1:pos:R:3 pbc="T T T"
Th 2.506 3.435 6.562
La -0.528 -0.266 4.486
Zn 0.903 0.323 1.676
Th 0.890 3.019 3.340
La 3.923 6.720 5.415
Zn 5.505 4.382 6.941
Zn 2.506 0.724 4.889
Zn 3.902 3.982 3.728
```

***

# 5
## Nd2GaIr3 (PBE-GGA)

Data for a geometry-optimized Nd2GaIr3 structure.

Output
DFT total energy (eV per cell): -43.4
Space group: R-3m (166)
Calculated formation energy (eV per atom): -0.717
Distance to the lowest polymorph of the same formula (eV/f.u.): 0.000
Total magnetization (μB per formula unit): 0.00

The structure in extended XYZ format:
```
6
Lattice="5.261 -0.005 -0.004 2.222 4.769 -0.004 2.222 1.415 4.555" Properties=species:S:1:pos:R:3 pbc="T T T"
Nd 3.631 2.312 1.701
Nd 6.074 3.867 2.846
Ir 1.111 2.385 -0.002
Ir 1.111 0.707 2.277
Ga 0.000 0.000 0.000
Ir 2.631 -0.002 -0.002
```

***

# 6
## AlNi (PBE-GGA)

Data for a geometry-optimized AlNi structure.

Output
DFT total energy (eV per cell): -60.7
Space group: P6_3/m (176)
Calculated formation energy (eV per atom): -0.296
Total magnetization (μB per formula unit): 0.00

The structure in extended XYZ format:
```
12
Lattice="-2.171 5.002 -3.763 -3.722 -2.238 5.003 1.905 2.854 2.694" Properties=species:S:1:pos:R:3 pbc="T T T"
Ni -0.360 5.101 0.149
Ni -0.925 3.673 2.062
Al -0.999 1.728 0.642
Al -2.470 1.187 5.789
Ni -2.491 5.412 1.326
Al 0.131 1.870 3.224
Ni -3.626 0.516 3.785
Ni -3.062 1.945 1.872
Al -4.118 3.747 0.709
Ni -1.496 0.205 2.607
Al -2.988 3.889 3.292
Al -1.517 4.431 -1.855
```

***

# 7
## LiAlS2Cl (PBE-GGA)

Data for a geometry-optimized LiAlS2Cl structure.

Output
DFT total energy (eV per cell): -19.2
Space group: P4/mmm (123)
Formation energy without anion corrections (eV/f.u.): -3.5
Distance to the lowest polymorph of the same formula (eV/f.u.): 0.000
Total magnetization (μB per formula unit): 0.26

The structure in extended XYZ format:
```
5
Lattice="-0.343 2.809 -3.577 2.745 -2.732 -2.408 -4.059 -2.613 -1.662" Properties=species:S:1:pos:R:3 pbc="T T T"
Al 0.000 0.000 0.000
Cl -2.030 -1.306 -0.831
S 1.372 -1.366 -1.204
Li -0.829 -1.268 -3.824
S -0.171 1.404 -1.788
```

***

# 8
## HoErMgTc (PBE-GGA)

Data for a geometry-optimized HoErMgTc structure.

Output
DFT total energy (eV per cell): -21.2
Space group: F-43m (216)
Calculated formation energy (eV per atom): -0.032
Total magnetization (μB per formula unit): 0.00

The structure in extended XYZ format:
```
4
Lattice="-3.555 -2.609 2.357 -1.068 -4.660 -1.466 1.251 -3.880 2.896" Properties=species:S:1:pos:R:3 pbc="T T T"
Mg 0.000 0.000 0.000
Er -0.843 -2.787 0.947
Ho -2.529 -8.362 2.840
Tc -1.686 -5.575 1.893
```

***

# 9
## Sc2SiGe (PBE-GGA)

Data for a geometry-optimized Sc2SiGe structure.

Output
DFT total energy (eV per cell): -48.1
Space group: I-42d (122)
Formation energy without anion corrections (eV/f.u.): -1.4
Total magnetization (μB per formula unit): 0.00

The structure in extended XYZ format:
```
8
Lattice="-6.148 -0.977 3.737 -2.218 -4.860 -4.919 -2.846 -5.162 1.023" Properties=species:S:1:pos:R:3 pbc="T T T"
Si -4.183 -2.918 -0.591
Sc -9.448 -8.963 -0.251
Si -4.623 -6.470 -2.243
Sc -2.885 -4.453 -2.340
Ge 0.000 0.000 0.000
Sc -4.812 -2.506 1.965
Sc -5.278 -6.075 0.309
Ge -6.589 -4.529 2.085
```

***

# 10
## GdHfSc2 (PBE-GGA)

Data for a geometry-optimized GdHfSc2 structure.

Output
DFT total energy (eV per cell): -36.1
Space group: P4/mmm (123)
Calculated formation energy (eV per atom): 0.140
Distance to the lowest polymorph of the same formula (eV/f.u.): 0.130
Total magnetization (μB per formula unit): 6.96

The structure in extended XYZ format:
```
4
Lattice="3.770 0.000 0.000 0.000 3.770 0.000 0.000 0.000 7.229" Properties=species:S:1:pos:R:3 pbc="T T T"
Sc 0.000 0.000 2.036
Sc 0.000 0.000 5.193
Gd 1.885 1.885 0.000
Hf 1.885 1.885 3.614
```

***

# 11
## AlRhN3 (PBE-GGA)

Data for a geometry-optimized AlRhN3 structure.

Output
DFT total energy (eV per cell): -28.6
Space group: Pm-3m (221)
Formation energy without anion corrections (eV/f.u.): 7.4
Total magnetization (μB per formula unit): 1.61

The structure in extended XYZ format:
```
5
Lattice="-2.123 -1.029 -3.067 -2.034 -2.428 2.223 -2.515 2.832 0.792" Properties=species:S:1:pos:R:3 pbc="T T T"
Rh 0.000 0.000 0.000
N -1.062 -0.514 -1.533
Al -3.336 -0.313 -0.026
N -1.017 -1.214 1.111
N -1.258 1.416 0.396
```

***

# 12
## Pa4HC2N (PBE-GGA)

Data for a geometry-optimized Pa4HC2N structure.

Output
DFT total energy (eV per cell): -73.8
Space group: P2/m (10)
Total magnetization (μB per formula unit): 0.00

The structure in extended XYZ format:
```
8
Lattice="-3.259 -0.427 -1.210 1.484 -5.544 -2.042 -1.130 -4.002 4.455" Properties=species:S:1:pos:R:3 pbc="T T T"
Pa -2.122 -4.597 2.268
Pa -0.783 -5.375 -1.065
Pa 0.264 -7.133 1.805
H 0.177 -4.773 1.206
Pa -3.168 -2.840 -0.602
N -0.887 -2.985 -1.626
C -2.194 -2.215 1.622
C -1.130 -4.002 4.455
```

***

# 13
## PrEr2Co2 (PBE-GGA)

Data for a geometry-optimized PrEr2Co2 structure.

Output
DFT total energy (eV per cell): -28.4
Space group: C2/m (12)
Calculated formation energy (eV per atom): -0.065
Total magnetization (μB per formula unit): 0.00

The structure in extended XYZ format:
```
5
Lattice="3.765 0.000 0.000 0.000 5.501 0.090 -1.882 -1.487 5.547" Properties=species:S:1:pos:R:3 pbc="T T T"
Co 1.882 -0.076 2.456
Pr 0.000 0.000 0.000
Co 0.000 4.090 3.181
Er 0.000 1.256 3.911
Er 1.882 2.758 1.727
```

***

# 14
## ScMn2Au (PBE-GGA)

Data for a geometry-optimized ScMn2Au structure.

Output
DFT total energy (eV per cell): -27.0
Space group: R-3m (166)
Calculated formation energy (eV per atom): 0.232
Total magnetization (μB per formula unit): 6.99

The structure in extended XYZ format:
```
4
Lattice="-4.399 5.345 5.901 -6.418 3.074 5.666 -4.086 2.844 7.613" Properties=species:S:1:pos:R:3 pbc="T T T"
Mn -7.412 5.602 9.538
Mn -0.040 0.030 0.051
Au -11.177 8.448 14.384
Sc -3.726 2.816 4.795
```

***

# 15
## TaMn2Mo (PBE-GGA)

Data for a geometry-optimized TaMn2Mo structure.

Output
DFT total energy (eV per cell): -40.8
Space group: Pmmm (47)
Calculated formation energy (eV per atom): 0.055
Distance to the lowest polymorph of the same formula (eV/f.u.): 0.354
Total magnetization (μB per formula unit): 1.27

The structure in extended XYZ format:
```
4
Lattice="-2.819 0.992 -0.946 -0.567 -3.737 -2.230 -1.757 -1.759 3.393" Properties=species:S:1:pos:R:3 pbc="T T T"
Mo -2.288 -0.383 1.224
Mn -1.693 -1.373 -1.588
Mn 0.000 0.000 0.000
Ta -1.162 -2.748 0.581
```

***

# 16
## PrHfAu (PBE-GGA)

Data for a geometry-optimized PrHfAu structure.

Output
DFT total energy (eV per cell): -38.4
Space group: C2/m (12)
Calculated formation energy (eV per atom): -0.395
Total magnetization (μB per formula unit): 0.00

The structure in extended XYZ format:
```
6
Lattice="4.562 0.027 -0.217 -0.038 4.562 -0.217 -1.906 -1.934 7.626" Properties=species:S:1:pos:R:3 pbc="T T T"
Hf -0.019 2.281 -0.109
Au 2.537 2.574 5.464
Pr 2.390 2.425 2.476
Au 0.081 0.082 1.728
Pr 0.228 0.231 4.716
Hf 2.281 0.014 -0.109
```

***

# 17
## CsLaHf2Pb (PBE-GGA)

Data for a geometry-optimized CsLaHf2Pb structure.

Output
DFT total energy (eV per cell): -20.8
Space group: P4/mmm (123)
Calculated formation energy (eV per atom): 1.710
Total magnetization (μB per formula unit): 0.01

The structure in extended XYZ format:
```
5
Lattice="-4.058 3.464 -0.449 -2.955 -2.938 4.040 2.184 3.053 3.817" Properties=species:S:1:pos:R:3 pbc="T T T"
Hf 1.092 1.527 1.909
Hf -2.029 1.732 -0.225
Pb -2.415 1.790 3.704
Cs 0.000 0.000 0.000
La -1.478 -1.469 2.020
```